La2AlPt: relaxed, PBE.

Summary:
D(E_F) ... 4.9 states/eV/cell
Density ... 7.68 g/cm3
Energy ... -22.68 eV per cell
Symmetry ... Pm, No. 6
Crystal system ... monoclinic
Formation energy from the elements ... -0.7600 eV/atom

abc: 4.659 4.345 5.820
angles: 90.00 113.44 90.00
Atoms (fractional coordinates):
La 0.000 0.000 0.000
La 0.292 0.500 0.586
Al 0.590 0.500 0.180
Pt 0.718 0.000 0.441